Entry 1:
11
Lattice="5.096 -6.635 0.000 5.096 6.635 0.000 0.000 0.000 5.369" Properties=species:S:1:pos:R:3 comment="Tb8Er2Th | Alexandria | PBE | optimized geometry" e_form_mev_per_atom=178 m_tot_mub_per_fu=0.00 volume_a3_per_cell=363 relative_energy_mev_per_atom=0 dos_ef_per_ev_cell=18.13 pbc="T T T"
Tb 1.688 0.000 0.000
Tb 3.417 1.754 2.684
Tb 5.096 3.358 0.000
Tb 3.417 -1.754 2.684
Tb 6.775 1.754 2.684
Tb 5.096 -3.358 0.000
Tb 6.775 -1.754 2.684
Tb 8.504 0.000 0.000
Er 5.096 5.036 2.684
Er 5.096 -5.036 2.684
Th 5.096 0.000 0.000


Entry 2:
5
Lattice="-1.957 1.957 8.177 1.957 -1.957 8.177 1.957 1.957 -8.177" Properties=species:S:1:pos:R:3 comment="YIn2Ge2 | Alexandria | PBE | optimized geometry" e_form_mev_per_atom=-4 m_tot_mub_per_fu=0.00 volume_a3_per_cell=125 dos_ef_per_ev_cell=2.41 pbc="T T T"
Y 0.000 0.000 0.000
In 0.000 0.000 6.411
In 0.000 0.000 9.944
Ge 1.957 0.000 4.089
Ge 0.000 1.957 4.089


Entry 3:
8
Lattice="-2.382 2.382 10.436 2.382 -2.382 10.436 2.382 2.382 -10.436" Properties=species:S:1:pos:R:3 comment="Sr2CdOs | Alexandria | PBE | optimized geometry" e_form_mev_per_atom=1027 m_tot_mub_per_fu=1.10 volume_a3_per_cell=237 dos_ef_per_ev_cell=7.60 pbc="T T T"
Sr 3.574 1.090 -2.609
Sr 1.090 1.191 2.609
Sr -1.191 1.292 7.827
Sr 1.292 1.191 13.045
Cd 2.382 0.000 5.218
Cd 0.000 0.000 10.436
Os 0.000 0.000 0.000
Os 0.000 2.382 5.218


Entry 4:
16
Lattice="4.506 0.000 0.000 0.000 4.506 0.000 0.000 0.000 18.501" Properties=species:S:1:pos:R:3 comment="LiAcP2 | Alexandria | PBE | optimized geometry" e_form_mev_per_atom=-871 m_tot_mub_per_fu=0.00 volume_a3_per_cell=376 relative_energy_mev_per_atom=14 pbc="T T T"
Li 0.319 0.787 0.000
Li 0.787 4.187 13.876
Li 3.719 0.319 4.625
Li 4.187 3.719 9.250
Ac 1.675 1.691 7.207
Ac 1.691 2.831 2.581
Ac 2.816 1.675 11.832
Ac 2.831 2.816 16.457
P 0.607 1.948 14.260
P 0.621 0.727 16.132
P 0.727 3.886 11.507
P 1.948 3.899 9.635
P 2.559 0.607 0.385
P 3.779 0.621 2.256
P 3.886 3.779 6.882
P 3.899 2.559 5.010